P.
Crystalline Li5MnCo2O8 at its relaxed geometry. Source: Alexandria, functional PBE with a Hubbard U.

Structure (CIF):
```
data_Li5MnCo2O8
_chemical_formula_sum 'Li5 Mn1 Co2 O8'
_symmetry_space_group_name_H-M 'P 1'
_symmetry_Int_Tables_number 1
_cell_length_a 5.106
_cell_length_b 5.106
_cell_length_c 10.255
_cell_angle_alpha 81.22
_cell_angle_beta 81.22
_cell_angle_gamma 32.79
loop_
_symmetry_equiv_pos_as_xyz
'x,y,z'
loop_
_atom_site_label
_atom_site_fract_x
_atom_site_fract_y
_atom_site_fract_z
Li1 0.738 0.738 0.388
Li2 0.000 0.000 0.500
Li3 0.262 0.262 0.612
Li4 0.248 0.248 0.132
Li5 0.752 0.752 0.868
O1 0.624 0.624 0.575
O2 0.613 0.613 0.052
O3 0.106 0.106 0.823
O4 0.894 0.894 0.177
O5 0.114 0.114 0.303
O6 0.886 0.886 0.697
O7 0.376 0.376 0.425
O8 0.387 0.387 0.948
Co1 0.490 0.490 0.271
Co2 0.510 0.510 0.729
Mn1 0.000 0.000 0.000
```

Results
**SG**: No. 12
**Calculated volume**: 8.93 Å³/atom
**Fermi-level density of states**: 5.78 states/eV/f.u.


Q.
Crystalline Li5MnCo2O8 at its relaxed geometry. Source: Alexandria, functional PBE with a Hubbard U.

Structure (CIF):
```
data_Li5MnCo2O8
_chemical_formula_sum 'Li5 Mn1 Co2 O8'
_symmetry_space_group_name_H-M 'P 1'
_symmetry_Int_Tables_number 1
_cell_length_a 2.897
_cell_length_b 5.039
_cell_length_c 9.646
_cell_angle_alpha 78.50
_cell_angle_beta 90.00
_cell_angle_gamma 90.00
loop_
_symmetry_equiv_pos_as_xyz
'x,y,z'
loop_
_atom_site_label
_atom_site_fract_x
_atom_site_fract_y
_atom_site_fract_z
Mn1 0.000 0.007 0.996
Li1 0.000 0.256 0.251
Li2 0.500 0.263 0.754
Li3 0.500 0.006 0.499
Li4 0.000 0.729 0.753
Li5 0.500 0.494 0.995
Co1 0.500 0.744 0.250
Co2 0.000 0.491 0.507
O1 0.000 0.350 0.888
O2 0.000 0.167 0.608
O3 0.500 0.396 0.374
O4 0.000 0.650 0.134
O5 0.000 0.835 0.367
O6 0.500 0.095 0.121
O7 0.500 0.886 0.891
O8 0.500 0.630 0.612
```

Results
**SG**: No. 6
**Calculated volume**: 8.62 Å³/atom
**Fermi-level density of states**: 1.29 states/eV/f.u.


R.
Crystalline Li5MnCo2O8 at its relaxed geometry. Source: Alexandria, functional PBE with a Hubbard U.

Structure (CIF):
```
data_Li5MnCo2O8
_chemical_formula_sum 'Li5 Mn1 Co2 O8'
_symmetry_space_group_name_H-M 'P 1'
_symmetry_Int_Tables_number 1
_cell_length_a 2.856
_cell_length_b 2.856
_cell_length_c 19.816
_cell_angle_alpha 85.87
_cell_angle_beta 90.00
_cell_angle_gamma 120.00
loop_
_symmetry_equiv_pos_as_xyz
'x,y,z'
loop_
_atom_site_label
_atom_site_fract_x
_atom_site_fract_y
_atom_site_fract_z
O1 0.181 0.361 0.458
O2 0.560 0.119 0.321
O3 0.319 0.639 0.042
O4 0.067 0.133 0.800
O5 0.435 0.869 0.696
O6 0.813 0.626 0.561
O7 0.688 0.376 0.935
O8 0.938 0.877 0.185
Co1 0.497 0.994 0.508
Co2 0.751 0.502 0.747
Li1 0.379 0.758 0.863
Li2 0.125 0.251 0.624
Li3 0.249 0.498 0.253
Li4 0.622 0.244 0.134
Li5 0.873 0.745 0.382
Mn1 0.003 0.007 0.990
```

Results
**SG**: No. 160
**Calculated volume**: 8.72 Å³/atom
**Fermi-level density of states**: 3.31 states/eV/f.u.


What should be chosen as the least stable of them? Choose R.


P.
Crystalline Li5MnCo2O8 at its relaxed geometry. Source: Alexandria, functional PBE with a Hubbard U.

Structure (CIF):
```
data_Li5MnCo2O8
_chemical_formula_sum 'Li5 Mn1 Co2 O8'
_symmetry_space_group_name_H-M 'P 1'
_symmetry_Int_Tables_number 1
_cell_length_a 2.848
_cell_length_b 5.004
_cell_length_c 9.785
_cell_angle_alpha 79.61
_cell_angle_beta 90.00
_cell_angle_gamma 90.00
loop_
_symmetry_equiv_pos_as_xyz
'x,y,z'
loop_
_atom_site_label
_atom_site_fract_x
_atom_site_fract_y
_atom_site_fract_z
Li1 0.500 0.762 0.243
Li2 0.000 0.282 0.229
Li3 0.000 0.718 0.771
Li4 0.500 0.238 0.757
Li5 0.500 0.500 0.000
O1 0.500 0.364 0.392
O2 0.500 0.882 0.888
O3 0.000 0.655 0.120
O4 0.000 0.135 0.602
O5 0.500 0.636 0.608
O6 0.500 0.118 0.112
O7 0.000 0.345 0.880
O8 0.000 0.865 0.398
Co1 0.500 0.000 0.500
Co2 0.000 0.500 0.500
Mn1 0.000 0.000 0.000
```

Results
**SG**: No. 10
**Calculated volume**: 8.57 Å³/atom
**Fermi-level density of states**: 2.76 states/eV/f.u.


Q.
Crystalline Li5MnCo2O8 at its relaxed geometry. Source: Alexandria, functional PBE with a Hubbard U.

Structure (CIF):
```
data_Li5MnCo2O8
_chemical_formula_sum 'Li5 Mn1 Co2 O8'
_symmetry_space_group_name_H-M 'P 1'
_symmetry_Int_Tables_number 1
_cell_length_a 5.114
_cell_length_b 5.114
_cell_length_c 10.001
_cell_angle_alpha 78.88
_cell_angle_beta 78.88
_cell_angle_gamma 33.24
loop_
_symmetry_equiv_pos_as_xyz
'x,y,z'
loop_
_atom_site_label
_atom_site_fract_x
_atom_site_fract_y
_atom_site_fract_z
O1 0.607 0.607 0.068
O2 0.387 0.387 0.429
O3 0.393 0.393 0.946
O4 0.882 0.882 0.668
O5 0.615 0.615 0.555
O6 0.124 0.124 0.829
O7 0.884 0.884 0.184
O8 0.105 0.105 0.320
Co1 0.495 0.495 0.252
Co2 0.997 0.997 0.511
Mn1 0.003 0.003 0.994
Li1 0.252 0.252 0.128
Li2 0.749 0.749 0.379
Li3 0.511 0.511 0.749
Li4 0.754 0.754 0.860
Li5 0.242 0.242 0.628
```

Results
**SG**: No. 8
**Calculated volume**: 8.78 Å³/atom
**Fermi-level density of states**: 2.56 states/eV/f.u.


R.
Crystalline Li5MnCo2O8 at its relaxed geometry. Source: Alexandria, functional PBE with a Hubbard U.

Structure (CIF):
```
data_Li5MnCo2O8
_chemical_formula_sum 'Li5 Mn1 Co2 O8'
_symmetry_space_group_name_H-M 'P 1'
_symmetry_Int_Tables_number 1
_cell_length_a 2.871
_cell_length_b 5.812
_cell_length_c 8.097
_cell_angle_alpha 89.07
_cell_angle_beta 90.00
_cell_angle_gamma 90.00
loop_
_symmetry_equiv_pos_as_xyz
'x,y,z'
loop_
_atom_site_label
_atom_site_fract_x
_atom_site_fract_y
_atom_site_fract_z
O1 0.500 0.718 0.503
O2 0.000 0.026 0.756
O3 0.000 0.474 0.736
O4 0.500 0.776 0.995
O5 0.500 0.276 0.511
O6 0.500 0.232 0.987
O7 0.000 0.004 0.231
O8 0.000 0.496 0.273
Mn1 0.000 0.998 0.006
Li1 0.500 0.251 0.256
Li2 0.000 0.507 0.021
Li3 0.500 0.748 0.747
Li4 0.000 0.990 0.483
Li5 0.500 0.748 0.254
Co1 0.000 0.503 0.494
Co2 0.500 0.252 0.747
```

Results
**SG**: No. 6
**Calculated volume**: 8.44 Å³/atom
**Fermi-level density of states**: 0.39 states/eV/f.u.


S.
Crystalline Li5MnCo2O8 at its relaxed geometry. Source: Alexandria, functional PBE with a Hubbard U.

Structure (CIF):
```
data_Li5MnCo2O8
_chemical_formula_sum 'Li5 Mn1 Co2 O8'
_symmetry_space_group_name_H-M 'P 1'
_symmetry_Int_Tables_number 1
_cell_length_a 9.692
_cell_length_b 9.692
_cell_length_c 4.979
_cell_angle_alpha 85.87
_cell_angle_beta 85.87
_cell_angle_gamma 16.83
loop_
_symmetry_equiv_pos_as_xyz
'x,y,z'
loop_
_atom_site_label
_atom_site_fract_x
_atom_site_fract_y
_atom_site_fract_z
O1 0.556 0.556 0.827
O2 0.061 0.061 0.286
O3 0.303 0.303 0.566
O4 0.198 0.198 0.931
O5 0.697 0.697 0.434
O6 0.444 0.444 0.173
O7 0.939 0.939 0.714
O8 0.802 0.802 0.069
Mn1 0.000 0.000 0.000
Li1 0.118 0.118 0.606
Li2 0.882 0.882 0.394
Li3 0.376 0.376 0.881
Li4 0.624 0.624 0.119
Li5 0.500 0.500 0.500
Co1 0.250 0.250 0.250
Co2 0.750 0.750 0.750
```

Results
**SG**: No. 12
**Calculated volume**: 8.44 Å³/atom
**Fermi-level density of states**: 4.19 states/eV/f.u.


What should be chosen as the least stable of them? Choose Q.


P.
Crystalline Li5MnCo2O8 at its relaxed geometry. Source: Alexandria, functional PBE with a Hubbard U.

Structure (CIF):
```
data_Li5MnCo2O8
_chemical_formula_sum 'Li5 Mn1 Co2 O8'
_symmetry_space_group_name_H-M 'P 1'
_symmetry_Int_Tables_number 1
_cell_length_a 5.830
_cell_length_b 4.969
_cell_length_c 5.078
_cell_angle_alpha 70.70
_cell_angle_beta 90.00
_cell_angle_gamma 90.00
loop_
_symmetry_equiv_pos_as_xyz
'x,y,z'
loop_
_atom_site_label
_atom_site_fract_x
_atom_site_fract_y
_atom_site_fract_z
Li1 0.750 0.000 0.500
Li2 0.252 0.500 0.000
Li3 0.492 0.500 0.500
Li4 0.249 0.000 0.500
Li5 0.008 0.500 0.500
O1 0.524 0.257 0.218
O2 0.237 0.222 0.761
O3 0.237 0.778 0.239
O4 0.982 0.253 0.217
O5 0.760 0.253 0.776
O6 0.524 0.743 0.782
O7 0.982 0.747 0.783
O8 0.760 0.747 0.224
Mn1 0.001 0.000 0.000
Co1 0.754 0.500 0.000
Co2 0.490 0.000 0.000
```

Results
**SG**: No. 3
**Calculated volume**: 8.68 Å³/atom


Q.
Crystalline Li5MnCo2O8 at its relaxed geometry. Source: Alexandria, functional PBE with a Hubbard U.

Structure (CIF):
```
data_Li5MnCo2O8
_chemical_formula_sum 'Li5 Mn1 Co2 O8'
_symmetry_space_group_name_H-M 'P 1'
_symmetry_Int_Tables_number 1
_cell_length_a 2.850
_cell_length_b 2.850
_cell_length_c 19.794
_cell_angle_alpha 85.87
_cell_angle_beta 90.00
_cell_angle_gamma 120.00
loop_
_symmetry_equiv_pos_as_xyz
'x,y,z'
loop_
_atom_site_label
_atom_site_fract_x
_atom_site_fract_y
_atom_site_fract_z
O1 0.685 0.369 0.946
O2 0.811 0.621 0.568
O3 0.315 0.631 0.054
O4 0.189 0.379 0.432
O5 0.432 0.863 0.705
O6 0.568 0.137 0.295
O7 0.063 0.127 0.810
O8 0.937 0.873 0.190
Li1 0.500 0.000 0.500
Li2 0.124 0.247 0.629
Li3 0.623 0.246 0.131
Li4 0.377 0.754 0.869
Li5 0.876 0.753 0.371
Co1 0.252 0.504 0.244
Co2 0.748 0.496 0.756
Mn1 0.000 0.000 0.000
```

Results
**SG**: No. 166
**Calculated volume**: 8.67 Å³/atom
**Fermi-level density of states**: 3.25 states/eV/f.u.


What should be chosen as the least stable of them? Choose Q.